# 1
! CuPtAu2, single point on PBEsol structure, DFT SCAN; values from VASP
! - Energy: -55.927 eV/atom
! - Energy relative to the elements: -0.02 kcal/mol of atoms
! - Polymorph energy (0 for the lowest one): 0.054 eV/atom
! - Volume: 15.164 Å³/atom
&SYSTEM
  ibrav = 0, nat = 4, ntyp = 3
/
ATOMIC_SPECIES
Pt 195.08 Pt.upf
Cu 63.55 Cu.upf
Au 196.97 Au.upf
ATOMIC_POSITIONS angstrom
Pt 1.3491 1.9366 2.8372
Cu 1.3914 1.9366 0.0242
Au -0.0177 0.0000 1.3579
Au 2.7159 0.0000 4.3165
CELL_PARAMETERS angstrom
2.7828 0.0000 0.0483
0.0000 3.8732 0.0000
-0.0846 0.0000 5.6260

# 2
! ScFeAs2, single point on PBEsol structure, DFT SCAN; values from VASP
! - Energy: -18.425 eV/atom
! - Energy relative to the elements: -5.49 kcal/mol of atoms
! - Volume: 16.978 Å³/atom
&SYSTEM
  ibrav = 0, nat = 4, ntyp = 3
/
ATOMIC_SPECIES
As 74.92 As.upf
Fe 55.84 Fe.upf
Sc 44.96 Sc.upf
ATOMIC_POSITIONS angstrom
As -0.5958 1.3558 7.6017
As -0.7022 -1.5024 2.9534
Fe -0.2994 0.6814 3.8207
Sc -0.9343 -0.9741 5.9151
CELL_PARAMETERS angstrom
-2.4869 -1.5113 0.0746
1.4965 -2.4353 0.5516
-0.6165 1.4029 7.8659

# 3
! TaInCo2, single point on PBEsol structure, DFT SCAN; values from VASP
! - Energy: -33.769 eV/atom
! - Energy relative to the elements: -2.87 kcal/mol of atoms
! - Volume: 14.323 Å³/atom
&SYSTEM
  ibrav = 0, nat = 4, ntyp = 3
/
ATOMIC_SPECIES
In 114.82 In.upf
Ta 180.95 Ta.upf
Co 58.93 Co.upf
ATOMIC_POSITIONS angstrom
In 0.0761 -2.0751 -0.6519
Ta -0.9405 -2.9625 2.0539
Co -0.5673 -0.4951 1.5099
Co -1.4659 -1.2795 3.9018
CELL_PARAMETERS angstrom
-1.9723 -1.9241 -1.3719
2.1244 -2.2262 0.0681
-2.0332 -1.7746 5.4117

# 4
! NbNiB, single point on PBEsol structure, DFT SCAN; values from VASP
! - Energy: -19.457 eV/atom
! - Energy relative to the elements: -12.59 kcal/mol of atoms
! - Volume: 11.018 Å³/atom
&SYSTEM
  ibrav = 0, nat = 6, ntyp = 3
/
ATOMIC_SPECIES
Nb 92.91 Nb.upf
Ni 58.69 Ni.upf
B 10.81 B.upf
ATOMIC_POSITIONS angstrom
Nb 0.7655 3.2683 1.3072
Nb 2.2965 1.6341 5.2984
Ni 2.2965 1.6341 2.7070
Ni 0.7655 3.2683 3.8987
B 0.7655 3.2683 6.1436
B 2.2965 1.6341 0.4620
CELL_PARAMETERS angstrom
3.0620 0.0000 0.0000
0.0000 3.2683 0.0000
0.0000 1.6341 6.6056

# 5
! Pr3In5, single point on PBEsol structure, DFT SCAN; values from VASP
! - Energy: -37.812 eV/atom
! - Energy relative to the elements: -16.10 kcal/mol of atoms
! - Volume: 27.026 Å³/atom
&SYSTEM
  ibrav = 0, nat = 16, ntyp = 2
/
ATOMIC_SPECIES
In 114.82 In.upf
Pr 140.91 Pr.upf
ATOMIC_POSITIONS angstrom
In 2.0276 5.8908 2.6028
In 3.5910 4.4105 0.5156
In -0.1728 3.1883 7.8085
In 3.5910 4.4105 4.6901
In 5.1266 6.2966 2.6028
In 0.0581 0.0713 7.8085
In 1.5937 1.9574 9.8957
In 3.1571 0.4771 7.8085
In 5.3575 3.1796 2.6028
In 1.5937 1.9574 5.7212
Pr 0.2704 5.0744 5.2056
Pr 4.9143 1.2935 0.0000
Pr 0.2704 5.0744 0.0000
Pr 1.9275 2.3674 2.6028
Pr 3.2571 4.0005 7.8085
Pr 4.9143 1.2935 5.2056
CELL_PARAMETERS angstrom
6.5146 -0.0095 0.0000
-1.3299 6.3774 0.0000
0.0000 0.0000 10.4113

# 6
! Li2MnO2F, single point on PBEsol structure, DFT SCAN; values from VASP
! - Energy: -9.045 eV/atom
! - Energy relative to the elements, uncorrected: -2.54 eV/atom
! - Polymorph energy (0 for the lowest one): 0.000 eV/atom
! - Volume: 8.811 Å³/atom
&SYSTEM
  ibrav = 0, nat = 12, ntyp = 4
/
ATOMIC_SPECIES
O 16.00 O.upf
F 19.00 F.upf
Li 6.94 Li.upf
Mn 54.94 Mn.upf
ATOMIC_POSITIONS angstrom
O 1.4581 0.0796 5.7647
O 1.5762 -0.8819 10.7132
O 0.2562 -0.5622 8.4838
O 0.1381 0.3993 3.5353
F 0.2478 -1.5025 1.2786
F 1.4665 1.0199 12.9699
Li 0.0000 0.0000 0.0000
Li 0.0747 -0.0146 12.0202
Li 1.6396 -0.4680 2.2284
Li -0.0527 0.9508 7.0683
Mn 0.2137 -1.0233 4.8152
Mn 1.5006 0.5407 9.4334
CELL_PARAMETERS angstrom
-1.1703 -2.5246 0.3309
2.9901 0.1405 -0.2190
-0.1055 1.9015 14.1367

# 7
! NiTeBr2, single point on PBEsol structure, DFT SCAN; values from VASP
! - Energy: -22.890 eV/atom
! - Energy relative to the elements, uncorrected: 0.20 eV/atom
! - Polymorph energy (0 for the lowest one): 0.054 eV/atom
! - Volume: 24.463 Å³/atom
&SYSTEM
  ibrav = 0, nat = 4, ntyp = 3
/
ATOMIC_SPECIES
Te 127.60 Te.upf
Br 79.90 Br.upf
Ni 58.69 Ni.upf
ATOMIC_POSITIONS angstrom
Te 1.5520 1.5520 5.0781
Br 0.0000 0.0000 1.5720
Br 0.0000 0.0000 8.5843
Ni 1.5520 1.5520 0.0000
CELL_PARAMETERS angstrom
3.1040 0.0000 0.0000
0.0000 3.1040 0.0000
0.0000 0.0000 10.1563

# 8
! TeIr2Cl, single point on PBEsol structure, DFT SCAN; values from VASP
! - Energy: -45.959 eV/atom
! - Energy relative to the elements, uncorrected: 0.90 eV/atom
! - Polymorph energy (0 for the lowest one): 0.449 eV/atom
! - Volume: 16.915 Å³/atom
&SYSTEM
  ibrav = 0, nat = 4, ntyp = 3
/
ATOMIC_SPECIES
Te 127.60 Te.upf
Cl 35.45 Cl.upf
Ir 192.22 Ir.upf
ATOMIC_POSITIONS angstrom
Te 1.4640 0.0000 4.4019
Cl 1.4640 0.0000 0.0000
Ir 0.0000 0.0000 6.7080
Ir 0.0000 0.0000 2.0958
CELL_PARAMETERS angstrom
2.9280 0.0000 0.0000
-1.4640 2.6248 0.0000
0.0000 0.0000 8.8038

# 9
! ScNb3H, single point on PBEsol structure, DFT SCAN; values from VASP
! - Energy: -23.331 eV/atom
! - Volume: 15.440 Å³/atom
&SYSTEM
  ibrav = 0, nat = 5, ntyp = 3
/
ATOMIC_SPECIES
Nb 92.91 Nb.upf
Sc 44.96 Sc.upf
H 1.01 H.upf
ATOMIC_POSITIONS angstrom
Nb -0.5428 -0.4039 -2.0186
Nb -1.7120 -1.0709 0.6746
Nb -1.1433 1.7952 -0.0517
Sc -3.3981 0.3205 -1.3958
H 0.0000 0.0000 0.0000
CELL_PARAMETERS angstrom
-1.0856 -0.8077 -4.0373
-3.4239 -2.1417 1.3492
-2.2867 3.5904 -0.1035

# 10
! YTePb2, single point on PBEsol structure, DFT SCAN; values from VASP
! - Energy: -54.709 eV/atom
! - Energy relative to the elements, uncorrected: -0.54 eV/atom
! - Volume: 29.115 Å³/atom
&SYSTEM
  ibrav = 0, nat = 4, ntyp = 3
/
ATOMIC_SPECIES
Pb 207.20 Pb.upf
Y 88.91 Y.upf
Te 127.60 Te.upf
ATOMIC_POSITIONS angstrom
Pb -3.3145 2.3318 3.4275
Pb -5.3382 4.7491 2.2313
Y -3.2195 2.7551 0.1671
Te -2.2740 5.4755 1.3762
CELL_PARAMETERS angstrom
-2.9092 -0.6045 -2.4020
-3.2825 -0.4666 4.0929
0.4443 5.9964 0.9916

# 11
! Pm2PdPt, single point on PBEsol structure, DFT SCAN; values from VASP
! - Energy: -48.823 eV/atom
! - Energy relative to the elements: -25.09 kcal/mol of atoms
! - Volume: 21.918 Å³/atom
&SYSTEM
  ibrav = 0, nat = 4, ntyp = 3
/
ATOMIC_SPECIES
Pm 145.00 Pm.upf
Pt 195.08 Pt.upf
Pd 106.42 Pd.upf
ATOMIC_POSITIONS angstrom
Pm 7.4797 4.3184 3.0536
Pm 2.4932 1.4395 1.0179
Pt 0.0000 0.0000 0.0000
Pd 4.9865 2.8790 2.0357
CELL_PARAMETERS angstrom
4.9865 0.0000 0.0000
2.4932 4.3184 0.0000
2.4932 1.4395 4.0715

# 12
! LiMgCd2, single point on PBEsol structure, DFT SCAN; values from VASP
! - Energy: -17.033 eV/atom
! - Energy relative to the elements: 0.35 kcal/mol of atoms
! - Volume: 21.213 Å³/atom
&SYSTEM
  ibrav = 0, nat = 8, ntyp = 3
/
ATOMIC_SPECIES
Cd 112.41 Cd.upf
Mg 24.30 Mg.upf
Li 6.94 Li.upf
ATOMIC_POSITIONS angstrom
Cd -2.8767 -4.9252 -1.2863
Cd -3.1270 -10.4148 -2.8890
Cd 0.6138 -4.4216 0.4746
Cd 1.6312 -7.3846 -1.9177
Mg 0.0000 0.0000 0.0000
Mg -1.5736 -8.0499 -1.0098
Li -1.2678 -2.5266 0.7896
Li -0.3058 -5.5232 -1.7994
CELL_PARAMETERS angstrom
-2.5356 -5.0533 1.5792
-2.7067 -3.4004 -4.3167
3.3630 -5.1194 -0.0716

# 13
! Co2HgPbI, single point on PBEsol structure, DFT SCAN; values from VASP
! - Energy: -41.947 eV/atom
! - Energy relative to the elements, uncorrected: 1.11 eV/atom
! - Volume: 25.268 Å³/atom
&SYSTEM
  ibrav = 0, nat = 5, ntyp = 4
/
ATOMIC_SPECIES
Co 58.93 Co.upf
I 126.90 I.upf
Pb 207.20 Pb.upf
Hg 200.59 Hg.upf
ATOMIC_POSITIONS angstrom
Co 0.0000 2.2844 0.0000
Co 2.2844 0.0000 0.0000
I 0.0000 0.0000 0.0000
Pb 2.2844 2.2844 3.0262
Hg 0.0000 0.0000 3.0262
CELL_PARAMETERS angstrom
4.5688 0.0000 0.0000
0.0000 4.5688 0.0000
0.0000 0.0000 6.0525

# 14
! BaSr3Mn, single point on PBEsol structure, DFT SCAN; values from VASP
! - Energy: -24.690 eV/atom
! - Energy relative to the elements: 5.46 kcal/mol of atoms
! - Volume: 45.378 Å³/atom
&SYSTEM
  ibrav = 0, nat = 5, ntyp = 3
/
ATOMIC_SPECIES
Ba 137.33 Ba.upf
Sr 87.62 Sr.upf
Mn 54.94 Mn.upf
ATOMIC_POSITIONS angstrom
Ba -3.3149 3.5440 2.0860
Sr -2.6212 -0.6590 1.4125
Sr 0.6993 1.9727 2.2180
Sr -1.3930 2.2303 -1.5445
Mn 0.0000 0.0000 0.0000
CELL_PARAMETERS angstrom
-2.7859 4.4606 -3.0889
-5.2424 -1.3180 2.8249
1.3985 3.9454 4.4360